# 1
Computed, not measured: crystalline TiSe2O6 at its relaxed geometry at the GGA-PBE level of DFT.

Summary:
Energy relative to the elements, uncorrected, eV per atom: -1.508
E above lowest polymorph, eV per atom: 0.000

```
data_TiSe2O6
_cell_length_a 4.882
_cell_length_b 8.477
_cell_length_c 7.044
_cell_angle_alpha 90.00
_cell_angle_beta 112.16
_cell_angle_gamma 90.00
_symmetry_space_group_name_H-M 'P 1 21/c 1'
_symmetry_Int_Tables_number 14
loop_
_symmetry_equiv_pos_as_xyz
'x,y,z'
'-x,-y,-z'
'-x,y+1/2,-z+1/2'
'x,-y+1/2,z+1/2'
loop_
_atom_site_label
_atom_site_type_symbol
_atom_site_fract_x
_atom_site_fract_y
_atom_site_fract_z
Ti1 Ti 0.000 0.000 0.000
Se1 Se 0.360 0.145 0.686
O1 O 0.098 0.059 0.760
O2 O 0.262 0.157 0.179
O3 O 0.331 0.654 0.589
```

***

# 2
Computed, not measured: crystalline ZrInCl2 at its relaxed geometry at the GGA-PBE level of DFT.

Summary:
Energy relative to the elements, uncorrected, eV per atom: -0.062
E above lowest polymorph, eV per atom: 0.983

```
data_ZrInCl2
_cell_length_a 7.269
_cell_length_b 7.269
_cell_length_c 7.269
_cell_angle_alpha 90.00
_cell_angle_beta 90.00
_cell_angle_gamma 90.00
_symmetry_space_group_name_H-M 'F -4 3 m'
_symmetry_Int_Tables_number 216
_symmetry_space_group_name_Hall 'F -4 2 3'
loop_
_atom_site_label
_atom_site_type_symbol
_atom_site_fract_x
_atom_site_fract_y
_atom_site_fract_z
Zr1 Zr 0.000 0.000 0.000
In1 In 0.250 0.250 0.750
Cl1 Cl 0.000 0.000 0.500
Cl2 Cl 0.250 0.250 0.250
```

***

- Among the records above, which one has the lowest E above lowest polymorph?
  TiSe2O6

***

- Look up the E above lowest polymorph of the first one.
  0.000 eV per atom